(1)
The following is a DFT calculation (GGA-PBE) of RbGaIBr after structural relaxation.

Computed properties:
As for the crystal system: trigonal. The value obtained for the density of states at the Fermi level is 0.000 states/eV/cell. As for the space group: R3m (160). As for the magnetic moment: 0.000 μB/atom.

Lattice parameters (Å, degrees): 4.7557 4.7567 8.7283 90.00 105.81 120.01
Closest atoms and distances in Å follow each position.
Fractional coordinates of all 4 atoms:
Rb1 0.4570 0.1265 0.5989  3 Br 3.45-3.46, 3 I 3.71
Ga1 0.1415 0.9687 0.1252  3 Br 3.30, 3 I 3.32
I1 0.3242 0.5601 0.8997  3 Ga 3.32, 3 Rb 3.71
Br1 0.9552 0.3756 0.3459  3 Ga 3.30, 3 Rb 3.45-3.46

***

(2)
The following is a DFT calculation (GGA-PBE) of RbGaIBr after structural relaxation.

Computed properties:
As for the crystal system: cubic. The value obtained for the density of states at the Fermi level is 0.000 states/eV/cell. As for the space group: F-43m (216). As for the magnetic moment: 0.000 μB/atom.

Lattice parameters (Å, degrees): 5.8754 5.8754 5.8754 60.00 60.00 60.00
Closest atoms and distances in Å follow each position.
Fractional coordinates of all 4 atoms:
I1 0.2500 0.2500 0.2500  4 Rb 3.60, 4 Ga 3.60
Ga1 0.5000 0.5000 0.5000  4 Br 3.60, 4 I 3.60
Br1 0.7500 0.7500 0.7500  4 Ga 3.60, 4 Rb 3.60
Rb1 0.0000 0.0000 0.0000  4 I 3.60, 4 Br 3.60

***

Which structure is most stable? (1), by 6.4 kJ/mol of atoms over the runner-up.

***

(1)
The following is a DFT calculation (GGA-PBE) of GaSbI2Br after structural relaxation.

Computed properties:
As for the crystal system: tetragonal. The value obtained for the density of states at the Fermi level is 3.329 states/eV/cell. As for the space group: P4/mmm (123). As for the magnetic moment: 0.000 μB/atom.

Lattice parameters (Å, degrees): 5.5005 5.5005 5.6746 90.00 90.00 90.00
Closest atoms and distances in Å follow each position.
Fractional coordinates of all 5 atoms:
I1 0.0000 0.5000 0.0000  2 Ga 2.75
I2 0.5000 0.0000 0.0000  2 Ga 2.75
Sb1 0.0000 0.0000 0.5000  2 Ga 2.84
Ga1 0.0000 0.0000 0.0000  4 I 2.75, 2 Sb 2.84
Br1 0.5000 0.5000 0.5000  4 Sb 3.89, 8 I 3.95

***

(2)
The following is a DFT calculation (GGA-PBE) of GaSbI2Br after structural relaxation.

Computed properties:
As for the crystal system: tetragonal. The value obtained for the density of states at the Fermi level is 4.017 states/eV/cell. As for the space group: P4/mmm (123). As for the magnetic moment: 0.466 μB/atom.

Lattice parameters (Å, degrees): 6.5865 6.5865 5.4663 90.00 90.00 90.00
Closest atoms and distances in Å follow each position.
Fractional coordinates of all 5 atoms:
I1 0.0000 0.5000 0.0000  2 Br 3.29
I2 0.5000 0.0000 0.0000  2 Br 3.29
Sb1 0.0000 0.0000 0.5000  2 Br 2.73
Ga1 0.5000 0.5000 0.5000  8 I 4.28, 4 Sb 4.66
Br1 0.0000 0.0000 0.0000  2 Sb 2.73

***

Which structure is most stable? (1), by 26.4 kJ/mol of atoms over the runner-up.

***

(1)
The following is a DFT calculation (GGA-PBE) of GaSe2IBr after structural relaxation.

Computed properties:
As for the crystal system: tetragonal. The value obtained for the density of states at the Fermi level is 4.468 states/eV/cell. As for the space group: P4/mmm (123). As for the magnetic moment: 0.000 μB/atom.

Lattice parameters (Å, degrees): 5.1768 5.1768 5.0178 90.00 90.00 90.00
Closest atoms and distances in Å follow each position.
Fractional coordinates of all 5 atoms:
I1 0.5000 0.5000 0.5000  8 Se 3.60, 4 Br 3.66
Ga1 0.0000 0.0000 0.0000  2 Br 2.51, 4 Se 2.59
Se1 0.0000 0.5000 0.0000  2 Ga 2.59
Se2 0.5000 0.0000 0.0000  2 Ga 2.59
Br1 0.0000 0.0000 0.5000  2 Ga 2.51

***

(2)
The following is a DFT calculation (GGA-PBE) of GaSe2IBr after structural relaxation.

Computed properties:
As for the crystal system: tetragonal. The value obtained for the density of states at the Fermi level is 2.613 states/eV/cell. As for the space group: P4/mmm (123). As for the magnetic moment: 0.000 μB/atom.

Lattice parameters (Å, degrees): 5.4358 5.4358 5.8468 90.00 90.00 90.00
Closest atoms and distances in Å follow each position.
Fractional coordinates of all 5 atoms:
I1 0.0000 0.0000 0.0000  4 Se 2.72, 2 Br 2.92
Ga1 0.5000 0.5000 0.5000  4 Br 3.84, 8 Se 3.99
Se1 0.0000 0.5000 0.0000  2 I 2.72
Se2 0.5000 0.0000 0.0000  2 I 2.72
Br1 0.0000 0.0000 0.5000  2 I 2.92

***

Which structure is most stable? (1), by 18.5 kJ/mol of atoms over the runner-up.

***

(1)
The following is a DFT calculation (GGA-PBE) of GaTeI2Br after structural relaxation.

Computed properties:
As for the crystal system: tetragonal. The value obtained for the density of states at the Fermi level is 2.814 states/eV/cell. As for the space group: P4/mmm (123). As for the magnetic moment: 0.000 μB/atom.

Lattice parameters (Å, degrees): 5.9096 5.9096 5.7105 90.00 90.00 90.00
Closest atoms and distances in Å follow each position.
Fractional coordinates of all 5 atoms:
I1 0.0000 0.5000 0.0000  2 Br 2.95
I2 0.5000 0.0000 0.0000  2 Br 2.95
Te1 0.0000 0.0000 0.5000  2 Br 2.86
Ga1 0.5000 0.5000 0.5000  8 I 4.11, 4 Te 4.18
Br1 0.0000 0.0000 0.0000  2 Te 2.86, 4 I 2.95

***

(2)
The following is a DFT calculation (GGA-PBE) of GaTeI2Br after structural relaxation.

Computed properties:
As for the crystal system: tetragonal. The value obtained for the density of states at the Fermi level is 5.240 states/eV/cell. As for the space group: P4/mmm (123). As for the magnetic moment: 0.000 μB/atom.

Lattice parameters (Å, degrees): 5.5078 5.5078 5.6591 90.00 90.00 90.00
Closest atoms and distances in Å follow each position.
Fractional coordinates of all 5 atoms:
I1 0.0000 0.5000 0.0000  2 Ga 2.75
I2 0.5000 0.0000 0.0000  2 Ga 2.75
Te1 0.0000 0.0000 0.5000  2 Ga 2.83
Ga1 0.0000 0.0000 0.0000  4 I 2.75, 2 Te 2.83
Br1 0.5000 0.5000 0.5000  4 Te 3.89, 8 I 3.95

***

Which structure is most stable? (2), by 16.2 kJ/mol of atoms over the runner-up.

***

(1)
The following is a DFT calculation (GGA-PBE) of TlGaIBr after structural relaxation.

Computed properties:
As for the crystal system: cubic. The value obtained for the density of states at the Fermi level is 0.000 states/eV/cell. As for the space group: F-43m (216). As for the magnetic moment: 0.000 μB/atom.

Lattice parameters (Å, degrees): 5.7404 5.7404 5.7404 60.00 60.00 60.00
Closest atoms and distances in Å follow each position.
Fractional coordinates of all 4 atoms:
I1 0.2500 0.2500 0.2500  4 Tl 3.52, 4 Ga 3.52
Tl1 0.0000 0.0000 0.0000  4 Br 3.52, 4 I 3.52
Ga1 0.5000 0.5000 0.5000  4 Br 3.52, 4 I 3.52
Br1 0.7500 0.7500 0.7500  4 Ga 3.52, 4 Tl 3.52

***

(2)
The following is a DFT calculation (GGA-PBE) of TlGaIBr after structural relaxation.

Computed properties:
As for the crystal system: monoclinic. The value obtained for the density of states at the Fermi level is 0.000 states/eV/cell. As for the space group: Cm (8). As for the magnetic moment: 0.000 μB/atom.

Lattice parameters (Å, degrees): 4.8397 4.8397 9.1451 90.04 105.21 120.19
Closest atoms and distances in Å follow each position.
Fractional coordinates of all 4 atoms:
Tl1 0.6843 0.6684 0.3527  3 I 3.38, 3 Br 3.70-3.71
Ga1 0.7395 0.1953 0.9349  3 Br 3.04, 1 I 3.16
I1 0.4973 0.0748 0.5721  1 Ga 3.16, 3 Tl 3.38
Br1 0.1646 0.9091 0.0737  3 Ga 3.04

***

Which structure is most stable? (2), by 1.6 kJ/mol of atoms over the runner-up.